# 1
VASP calculation (PBE) on a relaxed TbSm3Y7 crystal.

Properties
**Formation energy from the elements**: 0.186 eV/atom
**SG**: P3m1, No. 156
**Offset from the most stable computed form**: 0.48 eV per formula unit

Lattice parameters (Å, degrees): 7.1140 7.1140 8.6708 90.00 90.00 120.00
Fractional positions:
Tb 0.0000 0.0000 0.0000
Sm 0.1664 0.3329 0.6639
Sm 0.1664 0.8336 0.6639
Sm 0.6671 0.8336 0.6639
Y 0.0016 0.5008 0.9987
Y 0.3312 0.1656 0.3280
Y 0.3333 0.6667 0.3272
Y 0.4992 0.5008 0.9987
Y 0.4992 0.9984 0.9987
Y 0.8344 0.1656 0.3280
Y 0.8344 0.6688 0.3280

# 2
VASP calculation (PBE) on a relaxed Tb7Sm12Y crystal.

Properties
**Formation energy from the elements**: 0.276 eV/atom
**SG**: R-3, No. 148
**Offset from the most stable computed form**: 0.45 eV per formula unit

Lattice parameters (Å, degrees): 8.8089 8.8089 8.8089 94.44 94.44 94.44
Fractional positions:
Tb 0.0000 0.0000 0.0000
Tb 0.1480 0.4779 0.4142
Tb 0.4142 0.1480 0.4779
Tb 0.4779 0.4142 0.1480
Tb 0.5221 0.5858 0.8520
Tb 0.5858 0.8520 0.5221
Tb 0.8520 0.5221 0.5858
Sm 0.0200 0.3523 0.0854
Sm 0.0854 0.0200 0.3523
Sm 0.1860 0.3183 0.7497
Sm 0.2503 0.8140 0.6817
Sm 0.3183 0.7497 0.1860
Sm 0.3523 0.0854 0.0200
Sm 0.6477 0.9146 0.9800
Sm 0.6817 0.2503 0.8140
Sm 0.7497 0.1860 0.3183
Sm 0.8140 0.6817 0.2503
Sm 0.9146 0.9800 0.6477
Sm 0.9800 0.6477 0.9146
Y 0.5000 0.5000 0.5000

# 3
VASP calculation (PBE) on a relaxed TbSm6Y crystal.

Properties
**Formation energy from the elements**: 0.018 eV/atom
**SG**: P4/mmm, No. 123

Lattice parameters (Å, degrees): 5.1107 5.1107 10.2105 90.00 90.00 90.00
Fractional positions:
Tb 0.0000 0.0000 0.0000
Sm 0.0000 0.5000 0.2496
Sm 0.0000 0.5000 0.7504
Sm 0.5000 0.0000 0.2496
Sm 0.5000 0.0000 0.7504
Sm 0.5000 0.5000 0.0000
Sm 0.5000 0.5000 0.5000
Y 0.0000 0.0000 0.5000

# 4
VASP calculation (PBE) on a relaxed TbSm4Y15 crystal.

Properties
**Formation energy from the elements**: 0.021 eV/atom
**SG**: P4/mmm, No. 123

Lattice parameters (Å, degrees): 5.0783 5.0783 25.3505 90.00 90.00 90.00
Fractional positions:
Tb 0.0000 0.0000 0.0000
Sm 0.0000 0.0000 0.1997
Sm 0.0000 0.0000 0.3999
Sm 0.0000 0.0000 0.6001
Sm 0.0000 0.0000 0.8003
Y 0.0000 0.5000 0.0994
Y 0.0000 0.5000 0.2997
Y 0.0000 0.5000 0.5000
Y 0.0000 0.5000 0.7003
Y 0.0000 0.5000 0.9006
Y 0.5000 0.0000 0.0994
Y 0.5000 0.0000 0.2997
Y 0.5000 0.0000 0.5000
Y 0.5000 0.0000 0.7003
Y 0.5000 0.0000 0.9006
Y 0.5000 0.5000 0.0000
Y 0.5000 0.5000 0.1995
Y 0.5000 0.5000 0.3999
Y 0.5000 0.5000 0.6001
Y 0.5000 0.5000 0.8005

# 5
VASP calculation (PBE) on a relaxed TbSm4Y7 crystal.

Properties
**Formation energy from the elements**: 0.278 eV/atom
**SG**: C2/m, No. 12
**Offset from the most stable computed form**: 2.32 eV per formula unit

Lattice parameters (Å, degrees): 6.7579 6.7579 12.8504 114.78 114.78 51.84
Fractional positions:
Tb 0.0000 0.0000 0.0000
Sm 0.2230 0.2230 0.6675
Sm 0.3589 0.3589 0.2235
Sm 0.6411 0.6411 0.7765
Sm 0.7770 0.7770 0.3325
Y 0.0690 0.0690 0.3109
Y 0.2109 0.2109 0.9231
Y 0.3677 0.3677 0.5048
Y 0.5000 0.5000 0.0000
Y 0.6323 0.6323 0.4952
Y 0.7891 0.7891 0.0769
Y 0.9310 0.9310 0.6891

# 6
VASP calculation (PBE) on a relaxed TbSm12Y7 crystal.

Properties
**Formation energy from the elements**: 0.236 eV/atom
**SG**: R-3, No. 148
**Offset from the most stable computed form**: 0.00 eV per formula unit

Lattice parameters (Å, degrees): 8.8352 8.8352 8.8352 86.43 86.43 86.43
Fractional positions:
Tb 0.0000 0.0000 0.0000
Sm 0.1005 0.3478 0.4205
Sm 0.2275 0.7525 0.3508
Sm 0.2475 0.6492 0.7725
Sm 0.3478 0.4205 0.1005
Sm 0.3508 0.2275 0.7525
Sm 0.4205 0.1005 0.3478
Sm 0.5795 0.8995 0.6522
Sm 0.6492 0.7725 0.2475
Sm 0.6522 0.5795 0.8995
Sm 0.7525 0.3508 0.2275
Sm 0.7725 0.2475 0.6492
Sm 0.8995 0.6522 0.5795
Y 0.0047 0.3610 0.8855
Y 0.1145 0.9953 0.6390
Y 0.3610 0.8855 0.0047
Y 0.5000 0.5000 0.5000
Y 0.6390 0.1145 0.9953
Y 0.8855 0.0047 0.3610
Y 0.9953 0.6390 0.1145

# 7
VASP calculation (PBE) on a relaxed Tb3Sm2Y5 crystal.

Properties
**Formation energy from the elements**: 0.187 eV/atom
**SG**: C2/c, No. 15
**Offset from the most stable computed form**: 0.00 eV per formula unit

Lattice parameters (Å, degrees): 9.6967 9.6967 9.3621 108.44 108.44 112.88
Fractional positions:
Tb 0.0245 0.9755 0.7500
Tb 0.2239 0.4689 0.4508
Tb 0.4689 0.2239 0.9508
Tb 0.5311 0.7761 0.0492
Tb 0.7761 0.5311 0.5492
Tb 0.9755 0.0245 0.2500
Sm 0.0187 0.2682 0.0447
Sm 0.2682 0.0187 0.5447
Sm 0.7318 0.9813 0.4553
Sm 0.9813 0.7318 0.9553
Y 0.1375 0.3796 0.7644
Y 0.2287 0.7713 0.7500
Y 0.2743 0.7257 0.2500
Y 0.3796 0.1375 0.2644
Y 0.4735 0.5265 0.2500
Y 0.5265 0.4735 0.7500
Y 0.6204 0.8625 0.7356
Y 0.7257 0.2743 0.7500
Y 0.7713 0.2287 0.2500
Y 0.8625 0.6204 0.2356

# 8
VASP calculation (PBE) on a relaxed Tb4Sm15Y crystal.

Properties
**Formation energy from the elements**: 0.015 eV/atom
**SG**: P4/mmm, No. 123

Lattice parameters (Å, degrees): 5.1127 5.1127 25.5152 90.00 90.00 90.00
Fractional positions:
Tb 0.0000 0.0000 0.1000
Tb 0.0000 0.0000 0.2999
Tb 0.0000 0.0000 0.7001
Tb 0.0000 0.0000 0.9000
Sm 0.0000 0.5000 0.0000
Sm 0.0000 0.5000 0.1999
Sm 0.0000 0.5000 0.3997
Sm 0.0000 0.5000 0.6003
Sm 0.0000 0.5000 0.8001
Sm 0.5000 0.0000 0.0000
Sm 0.5000 0.0000 0.1999
Sm 0.5000 0.0000 0.3997
Sm 0.5000 0.0000 0.6003
Sm 0.5000 0.0000 0.8001
Sm 0.5000 0.5000 0.0999
Sm 0.5000 0.5000 0.2999
Sm 0.5000 0.5000 0.5000
Sm 0.5000 0.5000 0.7001
Sm 0.5000 0.5000 0.9001
Y 0.0000 0.0000 0.5000

| no. | E (eV/atom) |
| --- | --- |
| 1 | -5.636 |
| 2 | -4.499 |
| 3 | -4.909 |
| 4 | -6.002 |
| 5 | -5.452 |
| 6 | -5.089 |
| 7 | -5.378 |
| 8 | -4.773 |